4
Lattice="2.3319 1.3463 5.3058 -2.3319 1.3463 5.3058 0.0000 -2.6926 5.3058" Properties=species:S:1:pos:R:3 comment="AcZrPd2 PBE optimized geometry" e_form_ev_per_atom=-0.62 dos_at_fermi_per_ev_cell=4.07 density_g_cm3=8.823 sg="No. 166" pbc="T T T"
Ac 0.0000 0.0000 0.0000
Zr 0.0000 0.0000 7.9587
Pd 0.0000 0.0000 3.3081
Pd 0.0000 0.0000 12.6092

=====

7
Lattice="6.3523 -1.9184 0.0000 6.3523 1.9184 0.0000 -3.1184 0.0000 12.2058" Properties=species:S:1:pos:R:3 comment="Ac5Pm2 PBE optimized geometry" e_form_ev_per_atom=0.12 dos_at_fermi_per_ev_cell=11.93 density_g_cm3=7.954 sg="No. 12" pbc="T T T"
Ac 0.0000 0.0000 0.0000
Ac 0.3104 0.0000 10.5056
Ac 3.6881 0.0000 8.6171
Ac 5.8981 0.0000 3.5887
Ac 9.2758 0.0000 1.7002
Pm 0.1509 0.0000 6.7766
Pm 9.4353 0.0000 5.4292

=====

4
Lattice="3.8412 0.0000 0.0000 0.0000 5.4215 0.0000 0.0000 0.0000 7.5890" Properties=species:S:1:pos:R:3 comment="AcPm PBE optimized geometry" e_form_ev_per_atom=0.04 dos_at_fermi_per_ev_cell=6.44 density_g_cm3=7.817 sg="No. 59" pbc="T T T"
Ac 0.9603 1.3554 1.0147
Ac 2.8809 4.0661 6.5743
Pm 0.9603 1.3554 4.6860
Pm 2.8809 4.0661 2.9030